# 1
Density functional theory data (meta-GGA SCAN) for RbTlIn2Au at its PBEsol-relaxed geometry.

The structure in CIF format:
```
data_RbTlIn2Au
_symmetry_space_group_name_H-M 'P 1'
_symmetry_Int_Tables_number 1
_cell_length_a 6.0710
_cell_length_b 6.0710
_cell_length_c 6.0624
_cell_angle_alpha 90.00
_cell_angle_beta 90.00
_cell_angle_gamma 90.00
loop_
_symmetry_equiv_pos_as_xyz
'x,y,z'
loop_
_atom_site_label
_atom_site_fract_x
_atom_site_fract_y
_atom_site_fract_z
_atom_site_occupancy
Rb1 0.0000 0.0000 0.0000 1
Tl1 0.0000 0.0000 0.5000 1
In1 0.0000 0.5000 0.0000 1
In2 0.5000 0.0000 0.0000 1
Au1 0.5000 0.5000 0.5000 1
```

**Energy**: -44.59 eV per atom
**Magnetic moment**: 0.00 μB per cell
**V**: 44.69 Å³ per atom
**Space group**: P4/mmm

# 2
Density functional theory data (meta-GGA SCAN) for RbZnIn2Au at its PBEsol-relaxed geometry.

The structure in CIF format:
```
data_RbZnIn2Au
_symmetry_space_group_name_H-M 'P 1'
_symmetry_Int_Tables_number 1
_cell_length_a 6.2918
_cell_length_b 6.2918
_cell_length_c 5.7249
_cell_angle_alpha 90.00
_cell_angle_beta 90.00
_cell_angle_gamma 90.00
loop_
_symmetry_equiv_pos_as_xyz
'x,y,z'
loop_
_atom_site_label
_atom_site_fract_x
_atom_site_fract_y
_atom_site_fract_z
_atom_site_occupancy
Rb1 0.0000 0.0000 0.0000 1
Zn1 0.5000 0.5000 0.5000 1
In1 0.0000 0.5000 0.0000 1
In2 0.5000 0.0000 0.0000 1
Au1 0.0000 0.0000 0.5000 1
```

**Energy**: -32.94 eV per atom
**Magnetic moment**: 0.01 μB per cell
**V**: 45.33 Å³ per atom
**Space group**: P4/mmm

What is the magnetic moment in the first record?
0.00 μB per cell

What is the V in the second record?
45.33 Å³ per atom

What is the formula in the second record?
RbZnIn2Au